# 1
The following is a DFT calculation (GGA-PBE) of AcCe2Zn2In2 after structural relaxation.

POSCAR file:
```
AcCe2Zn2In2
1.0
4.610 0.000 0.000
2.305 3.993 0.000
2.305 1.331 9.923
Ac Ce Zn In
1 2 2 2
Cartesian
0.000 0.000 0.000
2.305 1.331 5.608
6.916 3.993 4.316
4.610 2.662 2.607
4.610 2.662 7.317
6.916 3.993 7.706
2.305 1.331 2.218
```

Calculated values
- E (eV for the cell shown) = -25.97
- space group = R-3m (166)
- formation energy (eV per atom) = -0.2818

# 2
The following is a DFT calculation (GGA-PBE) of KCa2Ag after structural relaxation.

POSCAR file:
```
KCa2Ag
1.0
0.000 4.089 4.089
4.089 0.000 4.089
4.089 4.089 0.000
Ca K Ag
2 1 1
Cartesian
2.044 2.044 2.044
6.133 6.133 6.133
0.000 0.000 0.000
4.089 4.089 4.089
```

Calculated values
- E (eV for the cell shown) = -7.46
- space group = Fm-3m (225)
- formation energy (eV per atom) = 0.1232

# 3
The following is a DFT calculation (GGA-PBE) of NiAs2W after structural relaxation.

POSCAR file:
```
NiAs2W
1.0
4.434 0.000 0.000
2.217 3.840 0.000
2.217 1.280 3.620
As Ni W
2 1 1
Cartesian
0.000 0.000 0.000
2.217 1.280 0.905
4.434 2.560 1.810
6.651 3.840 2.715
```

Calculated values
- E (eV for the cell shown) = -25.68
- space group = F-43m (216)
- formation energy (eV per atom) = 0.5875

# 4
The following is a DFT calculation (GGA-PBE) of LiCo4Ni8 after structural relaxation.

POSCAR file:
```
LiCo4Ni8
1.0
-0.699 -0.579 3.415
2.986 -2.305 2.048
8.460 6.006 4.579
Li Co Ni
1 4 8
Cartesian
7.824 5.504 6.192
5.914 0.419 4.938
7.438 3.410 7.586
2.736 -0.713 2.267
4.262 2.278 4.915
4.537 0.843 2.900
4.106 -1.192 4.295
6.069 3.889 5.559
5.639 1.855 6.953
2.488 0.681 4.281
9.477 3.618 6.210
7.687 2.017 5.572
0.697 -0.921 3.642
```

Calculated values
- E (eV for the cell shown) = -76.32
- space group = C2/m (12)
- formation energy (eV per atom) = 0.0204

# 5
The following is a DFT calculation (GGA-PBE) of Ac2CeSe2O2 after structural relaxation.

POSCAR file:
```
Ac2CeSe2O2
1.0
4.500 0.000 0.000
0.000 4.500 0.000
-2.250 -2.250 8.320
Ac Ce Se O
2 1 2 2
Cartesian
0.000 0.000 6.059
2.250 2.250 2.262
0.000 0.000 0.000
0.000 0.000 2.950
2.250 2.250 5.371
0.000 2.250 0.000
2.250 0.000 0.000
```

Calculated values
- E (eV for the cell shown) = -47.62
- space group = I4/mmm (139)
- energy relative to the elements, uncorrected (eV per atom) = -2.370

# 6
The following is a DFT calculation (GGA-PBE) of RuPtBr2 after structural relaxation.

POSCAR file:
```
RuPtBr2
1.0
3.110 0.000 0.000
0.000 6.016 0.000
0.000 0.000 4.256
Ru Br Pt
1 2 1
Cartesian
0.000 3.008 2.128
0.000 0.000 0.000
1.555 3.008 0.000
1.555 0.000 2.128
```

Calculated values
- E (eV for the cell shown) = -15.37
- space group = Pmmm (47)
- energy relative to the elements, uncorrected (eV per atom) = 0.822

# 7
The following is a DFT calculation (GGA-PBE) of Li2ScMo after structural relaxation.

POSCAR file:
```
Li2ScMo
1.0
-1.005 4.408 -1.029
-2.250 -1.194 -2.918
-3.040 -0.133 2.398
Li Mo Sc
2 1 1
Cartesian
0.000 0.000 0.000
-2.645 -0.664 -0.260
-1.627 1.607 -1.974
-2.022 2.137 0.684
```

Calculated values
- E (eV for the cell shown) = -19.05
- space group = P4/mmm (123)
- formation energy (eV per atom) = 0.4858

# 8
The following is a DFT calculation (GGA-PBE) of LaTaCu after structural relaxation.

POSCAR file:
```
LaTaCu
1.0
-0.792 5.925 -2.986
-3.740 5.093 -2.174
0.078 2.068 2.400
Cu La Ta
1 1 1
Cartesian
-0.033 2.284 2.218
-1.469 5.070 -0.136
-2.875 7.800 -2.442
```

Calculated values
- E (eV for the cell shown) = -20.10
- space group = I4mm (107)
- formation energy (eV per atom) = 0.2581

# 9
The following is a DFT calculation (GGA-PBE) of V8AsC2 after structural relaxation.

POSCAR file:
```
V8AsC2
1.0
4.297 0.000 -0.001
-0.708 5.771 -0.027
-0.708 -2.247 5.316
V As C
8 1 2
Cartesian
2.750 3.851 3.505
2.750 1.751 4.904
0.393 2.130 3.196
1.440 3.726 1.336
1.440 -0.202 3.953
2.487 1.394 2.092
0.131 1.772 0.385
0.131 -0.328 1.784
2.148 0.000 0.000
-0.708 0.271 3.638
-0.708 3.252 1.651
```

Calculated values
- E (eV for the cell shown) = -98.50
- space group = C2/m (12)
- formation energy (eV per atom) = -0.2232

# 10
The following is a DFT calculation (GGA-PBE) of TmZr2Al after structural relaxation.

POSCAR file:
```
TmZr2Al
1.0
-0.359 -2.019 -2.523
0.525 -3.187 0.380
-9.666 -3.046 1.718
Tm Zr Al
1 2 1
Cartesian
-4.754 -4.127 -0.211
-7.391 -2.739 1.149
-2.209 -2.041 -0.148
0.104 -3.471 -1.427
```

Calculated values
- E (eV for the cell shown) = -25.40
- space group = R3m (160)
- formation energy (eV per atom) = -0.0222

# 11
The following is a DFT calculation (GGA-PBE) of NpTiZn4 after structural relaxation.

POSCAR file:
```
NpTiZn4
1.0
-4.475 0.992 -2.585
-1.495 -3.119 -3.966
-4.140 -3.196 0.583
Np Zn Ti
1 4 1
Cartesian
-2.527 -1.331 -1.492
-4.243 -1.723 -4.028
-5.574 -1.762 -1.739
-6.326 -3.331 -3.735
-4.075 -3.830 -2.434
0.000 0.000 0.000
```

Calculated values
- E (eV for the cell shown) = -25.86
- space group = F-43m (216)
- formation energy (eV per atom) = 0.0125

# 12
The following is a DFT calculation (GGA-PBE) of KNi2As after structural relaxation.

POSCAR file:
```
KNi2As
1.0
5.620 0.002 0.008
-2.809 4.467 -0.006
0.002 0.873 2.651
As K Ni
1 1 2
Cartesian
-1.404 2.670 1.323
1.405 2.235 0.001
0.000 0.000 0.000
2.811 0.438 1.329
```

Calculated values
- E (eV for the cell shown) = -14.71
- space group = C2/m (12)
- formation energy (eV per atom) = 0.6499